[1]
Below is ErTm2OsO8 after structural relaxation, with properties calculated at the PBE-GGA level.

Geometry as POSCAR:
```
ErTm2OsO8
1.0
3.506 -3.537 0.000
3.506 3.537 0.000
0.000 0.000 6.682
Er Tm Os O
1 2 1 8
direct
0.000 0.000 0.000
0.500 0.500 0.246
0.500 0.500 0.754
0.000 0.000 0.500
0.185 0.815 0.288
0.185 0.815 0.712
0.268 0.268 0.500
0.308 0.308 0.000
0.692 0.692 0.000
0.732 0.732 0.500
0.815 0.185 0.288
0.815 0.185 0.712
```

## Properties
* raw total energy: -7.95 eV per atom
* spin magnetization: 0.09 μB per atom
* formation energy from raw total energies: -2.584 eV per atom

[2]
Below is Er2TmOsO8 after structural relaxation, with properties calculated at the PBE-GGA level.

Geometry as POSCAR:
```
Er2TmOsO8
1.0
3.512 -3.551 0.000
3.512 3.551 0.000
0.000 0.000 6.687
Er Tm Os O
2 1 1 8
direct
0.000 0.000 0.246
0.000 0.000 0.754
0.500 0.500 0.000
0.500 0.500 0.500
0.194 0.194 0.000
0.233 0.233 0.500
0.316 0.684 0.287
0.316 0.684 0.713
0.684 0.316 0.287
0.684 0.316 0.713
0.767 0.767 0.500
0.806 0.806 0.000
```

## Properties
* raw total energy: -7.95 eV per atom
* spin magnetization: 0.09 μB per atom
* formation energy from raw total energies: -2.575 eV per atom